First-principles (PBE) data for ThMgZnHg after structural relaxation, as listed in the Alexandria database.

Computed properties:
total magnetic moment = 0.0 μB/f.u.
total energy = -2.885 eV/atom
ρ = 9.22 g/cm³
space group = No. 216
E_form = -0.238 eV per atom
crystal system = cubic

Cell and atoms, written as extended XYZ:
```
4
Lattice="0.000 3.610 3.610 3.610 0.000 3.610 3.610 3.610 0.000" Properties=species:S:1:pos:R:3 pbc="T T T"
Th 0.000 0.000 0.000
Mg 3.610 3.610 3.610
Zn 1.805 1.805 1.805
Hg 5.415 5.415 5.415
```